[1]
PaReW2 | PBE-GGA | optimized geometry

Properties
total moment	0.00	μB/cell
density of states at the Fermi level	5.11	states/eV per cell
crystal system	cubic
theoretical density	18.3	g/cm³
distance to the lowest polymorph of the same formula	91	meV/atom
total DFT energy (no corrections)	-11.65	eV/atom

extended XYZ file:
```
4
Lattice="0.0000 3.2914 3.2914 3.2914 0.0000 3.2914 3.2914 3.2914 0.0000" Properties=species:S:1:pos:R:3 pbc="T T T"
Pa 0.0000 0.0000 0.0000
Re 3.2914 3.2914 3.2914
W 1.6457 1.6457 1.6457
W 4.9370 4.9370 4.9370
```

***

[2]
NbSn2Rh | PBE-GGA | optimized geometry

Properties
total moment	0.00	μB/cell
density of states at the Fermi level	7.68	states/eV per cell
crystal system	tetragonal
theoretical density	8.6	g/cm³
total DFT energy (no corrections)	-6.18	eV/atom

extended XYZ file:
```
8
Lattice="-3.7205 3.7205 3.0055 3.7205 -3.7205 3.0055 3.7205 3.7205 -3.0055" Properties=species:S:1:pos:R:3 pbc="T T T"
Nb 0.0000 0.0000 0.0000
Nb 0.0000 3.7205 1.5028
Sn 1.8602 -1.6478 2.2542
Sn 2.0727 1.8602 0.7514
Sn 1.8602 5.3682 -0.7514
Sn 1.6478 1.8602 3.7569
Rh 3.7205 0.0000 1.5028
Rh 0.0000 0.0000 3.0055
```

***

[3]
LaP2O2 | PBE-GGA | optimized geometry

Properties
total moment	0.00	μB/cell
density of states at the Fermi level	3.07	states/eV per cell
crystal system	tetragonal
theoretical density	4.8	g/cm³
distance to the lowest polymorph of the same formula	324	meV/atom
formation energy (no corrections)	-0.897	eV per atom
total DFT energy (no corrections)	-6.03	eV/atom

extended XYZ file:
```
5
Lattice="3.7191 0.0000 0.0000 0.0000 3.7191 0.0000 0.0000 0.0000 5.8569" Properties=species:S:1:pos:R:3 pbc="T T T"
La 0.0000 0.0000 0.0000
P 0.0000 1.8595 2.9284
P 1.8595 0.0000 2.9284
O 1.8595 1.8595 0.0000
O 1.8595 1.8595 2.9284
```

***

[4]
BiSe | PBE-GGA | optimized geometry

Properties
total moment	0.00	μB/cell
density of states at the Fermi level	3.14	states/eV per cell
crystal system	hexagonal
theoretical density	6.7	g/cm³
distance to the lowest polymorph of the same formula	319	meV/atom
formation energy (no corrections)	-0.004	eV per atom
total DFT energy (no corrections)	-3.69	eV/atom

extended XYZ file:
```
4
Lattice="5.1625 0.0000 0.0000 -2.5813 4.4709 0.0000 0.0000 0.0000 6.1735" Properties=species:S:1:pos:R:3 pbc="T T T"
Bi 0.0000 2.9806 1.5434
Bi 2.5813 1.4903 4.6301
Se 0.0000 2.9806 4.6301
Se 2.5813 1.4903 1.5434
```

***

- Among the records above, which one has the lowest total DFT energy (no corrections)?
  PaReW2